[1]
Entry from the Alexandria database: a geometry-optimized Tc2IrBr structure (PBE-GGA).

Lattice parameters (Å, degrees): 9.2278 9.2278 9.2278 17.84 17.84 17.84
Last column: nearest neighbours and their distance in Å.
Positions (direct):
Tc  0.0000  0.0000  0.0000  3 Br 2.69, 9 Tc 2.71-2.86
Tc  0.2544  0.2544  0.2544  3 Ir 2.67, 9 Tc 2.71-2.86
Ir  0.5110  0.5110  0.5110  3 Tc 2.67, 6 Ir 2.86
Br  0.7445  0.7445  0.7445  3 Tc 2.69, 6 Br 2.86

Calculated values
Total energy ... -29.331 eV for the cell shown
DOS(E_F) ... 4.71 states/eV/cell
V ... 64.4 Å³ per cell


[2]
Entry from the Alexandria database: a geometry-optimized CaDy3Y2Bi6 structure (PBE-GGA).

Lattice parameters (Å, degrees): 10.0729 10.0729 9.0222 102.95 102.95 25.78
Last column: nearest neighbours and their distance in Å.
Positions (direct):
Ca  0.0000  0.0000  0.0000  6 Bi 3.22-3.23
Dy  0.0000  0.0000  0.5000  6 Bi 3.15-3.19
Dy  0.3349  0.3349  0.1659  6 Bi 3.16-3.19
Dy  0.6651  0.6651  0.8341  6 Bi 3.16-3.19
Y  0.3338  0.3338  0.6679  6 Bi 3.17-3.19
Y  0.6662  0.6662  0.3321  6 Bi 3.17-3.19
Bi  0.1669  0.1669  0.5837  3 Dy 3.19, 3 Y 3.19
Bi  0.1690  0.1690  0.0846  3 Dy 3.17-3.18, 2 Y 3.18, 1 Ca 3.23
Bi  0.5002  0.5002  0.2559  3 Dy 3.15-3.16, 1 Y 3.17, 2 Ca 3.22
Bi  0.4998  0.4998  0.7441  3 Dy 3.15-3.16, 1 Y 3.17, 2 Ca 3.22
Bi  0.8310  0.8310  0.9154  3 Dy 3.17-3.18, 2 Y 3.18, 1 Ca 3.23
Bi  0.8331  0.8331  0.4163  3 Dy 3.19, 3 Y 3.19

Calculated values
Total energy ... -62.106 eV for the cell shown
DOS(E_F) ... 3.34 states/eV/cell
V ... 387.4 Å³ per cell
ΔE_f ... -0.8403 eV per atom


[3]
Entry from the Alexandria database: a geometry-optimized Pr3Sm8Sc2 structure (PBE-GGA).

Lattice parameters (Å, degrees): 10.6703 10.6703 5.7206 90.04 90.04 43.08
Last column: nearest neighbours and their distance in Å.
Positions (direct):
Pr  0.0000  0.0000  0.0000  4 Sm 3.22
Pr  0.2923  0.7077  0.5000  1 Pr 3.25, 6 Sm 3.54-3.64
Pr  0.7077  0.2923  0.5000  1 Pr 3.25, 6 Sm 3.54-3.64
Sm  0.1362  0.1362  0.4996  2 Sc 3.52-3.54, 4 Pr 3.54-3.94, 5 Sm 3.64-3.70
Sm  0.1793  0.5935  0.9995  1 Pr 3.22, 3 Sm 3.25-3.55, 2 Sc 3.32-3.41
Sm  0.3197  0.3197  0.4986  2 Sc 3.26, 5 Sm 3.54-3.64
Sm  0.4065  0.8207  0.0005  1 Pr 3.22, 3 Sm 3.25-3.55, 2 Sc 3.32-3.41
Sm  0.5935  0.1793  0.9995  1 Pr 3.22, 3 Sm 3.25-3.55, 2 Sc 3.32-3.41
Sm  0.6803  0.6803  0.5014  2 Sc 3.26, 5 Sm 3.54-3.64
Sm  0.8207  0.4065  0.0005  1 Pr 3.22, 3 Sm 3.25-3.55, 2 Sc 3.32-3.41
Sm  0.8638  0.8638  0.5004  2 Sc 3.52-3.54, 4 Pr 3.54-3.94, 5 Sm 3.64-3.70
Sc  0.2405  0.2405  0.9984  8 Sm 3.26-3.54
Sc  0.7595  0.7595  0.0016  8 Sm 3.26-3.54

Calculated values
Total energy ... -61.720 eV for the cell shown
DOS(E_F) ... 19.86 states/eV/cell
V ... 444.8 Å³ per cell
ΔE_f ... 0.2334 eV per atom


[4]
Entry from the Alexandria database: a geometry-optimized AcNd4Zn4 structure (PBE-GGA).

Lattice parameters (Å, degrees): 9.6445 9.6445 5.5814 90.00 90.00 90.00
Last column: nearest neighbours and their distance in Å.
Positions (direct):
Ac  0.2500  0.2500  0.2500  4 Zn 3.23, 4 Nd 3.60
Ac  0.7500  0.7500  0.7500  4 Zn 3.23, 4 Nd 3.60
Nd  0.1020  0.8453  0.6114  4 Zn 3.05-3.19, 1 Nd 3.39
Nd  0.1547  0.6020  0.1114  4 Zn 3.05-3.19, 1 Nd 3.39
Nd  0.3453  0.8980  0.1114  4 Zn 3.05-3.19, 1 Nd 3.39
Nd  0.3980  0.6547  0.6114  4 Zn 3.05-3.19, 1 Nd 3.39
Nd  0.6020  0.3453  0.3886  4 Zn 3.05-3.19, 1 Nd 3.39
Nd  0.6547  0.1020  0.8886  4 Zn 3.05-3.19, 1 Nd 3.39
Nd  0.8453  0.3980  0.8886  4 Zn 3.05-3.19, 1 Nd 3.39
Nd  0.8980  0.1547  0.3886  4 Zn 3.05-3.19, 1 Nd 3.39
Zn  0.0241  0.1195  0.8864  1 Zn 2.67
Zn  0.1195  0.4759  0.6136  1 Zn 2.67
Zn  0.3805  0.0241  0.6136  1 Zn 2.67
Zn  0.4759  0.3805  0.8864  1 Zn 2.67
Zn  0.5241  0.6195  0.1136  1 Zn 2.67
Zn  0.6195  0.9759  0.3864  1 Zn 2.67
Zn  0.8805  0.5241  0.3864  1 Zn 2.67
Zn  0.9759  0.8805  0.1136  1 Zn 2.67

Calculated values
Total energy ... -57.800 eV for the cell shown
DOS(E_F) ... 15.29 states/eV/cell
V ... 519.2 Å³ per cell
ΔE_f ... -0.0694 eV per atom


[5]
Entry from the Alexandria database: a geometry-optimized SrLiZr2 structure (PBE-GGA).

Lattice parameters (Å, degrees): 6.5646 6.5646 6.5646 141.84 141.84 55.08
Last column: nearest neighbours and their distance in Å.
Positions (direct):
Sr  0.0000  0.0000  0.0000  4 Li 3.04
Li  0.5000  0.5000  0.0000  4 Sr 3.04
Zr  0.2500  0.7500  0.5000  4 Zr 3.04
Zr  0.7500  0.2500  0.5000  4 Zr 3.04

Calculated values
Total energy ... -18.623 eV for the cell shown
DOS(E_F) ... 5.27 states/eV/cell
V ... 107.2 Å³ per cell
ΔE_f ... 0.5173 eV per atom


[6]
Entry from the Alexandria database: a geometry-optimized LiCuP2S structure (PBE-GGA).

Lattice parameters (Å, degrees): 4.4664 4.4664 4.8558 90.00 90.00 90.00
Last column: nearest neighbours and their distance in Å.
Positions (direct):
Li  0.0000  0.0000  0.0000  4 S 3.16, 8 P 3.30
Cu  0.5000  0.5000  0.5000  4 P 2.23, 2 S 2.43
P  0.0000  0.5000  0.5000  2 Cu 2.23
P  0.5000  0.0000  0.5000  2 Cu 2.23
S  0.5000  0.5000  0.0000  2 Cu 2.43

Calculated values
Total energy ... -18.644 eV for the cell shown
DOS(E_F) ... 3.62 states/eV/cell
V ... 96.9 Å³ per cell